Here is a crystal of Li4Cu5 relaxed with PBEsol from Alexandria. Energies are from meta-GGA SCAN.

Cell lengths 3.571, 5.805, 5.805 Å; angles 84.57, 72.09, 72.09 degrees
Element x y z (fractional)
Cu 0.000 0.000 0.000
Cu 0.665 0.000 0.670
Cu 0.335 0.000 0.330
Cu 0.665 0.670 0.000
Cu 0.335 0.330 0.000
Li 0.000 0.682 0.318
Li 0.000 0.318 0.682
Li 0.682 0.318 0.318
Li 0.318 0.682 0.682

Output
Calculated volume (A^3/atom): 12.1
Formation enthalpy at 0 K (eV/atom): 0.00
Crystal system: tetragonal